# 1
# Zn3AsOs, relaxed, DFT PBE-GGA
data_Zn3AsOs
_chemical_formula_sum 'Zn3 As1 Os1'
_space_group_name_H-M_alt 'P m -3 m'
_space_group_IT_number 221
_space_group_name_Hall '-P 4 2 3'
_cell_length_a 4.6433
_cell_length_b 4.6433
_cell_length_c 4.6433
_cell_angle_alpha 90.00
_cell_angle_beta 90.00
_cell_angle_gamma 90.00
loop_
_atom_site_label
_atom_site_type_symbol
_atom_site_fract_x
_atom_site_fract_y
_atom_site_fract_z
Zn1 Zn 0.0000 0.0000 0.5000
As1 As 0.0000 0.0000 0.0000
Os1 Os 0.5000 0.5000 0.5000
# ΔE_f	1311	meV per atom
# energy above the most stable polymorph in this dataset	389	meV/atom
# calculated total energy	-13.15	eV per cell
# magnetic moment	0.25	μB per atom

---

# 2
# MgCdP2, relaxed, DFT PBE-GGA
data_MgCdP2
_chemical_formula_sum 'Mg1 Cd1 P2'
_space_group_name_H-M_alt 'P 4/m m m'
_space_group_IT_number 123
_space_group_name_Hall '-P 4 2'
_cell_length_a 3.6143
_cell_length_b 3.6143
_cell_length_c 5.9123
_cell_angle_alpha 90.00
_cell_angle_beta 90.00
_cell_angle_gamma 90.00
loop_
_atom_site_label
_atom_site_type_symbol
_atom_site_fract_x
_atom_site_fract_y
_atom_site_fract_z
Mg1 Mg 0.0000 0.0000 0.0000
Cd1 Cd 0.0000 0.0000 0.5000
P1 P 0.5000 0.5000 0.1865
# ΔE_f	19	meV per atom
# energy above the most stable polymorph in this dataset	135	meV/atom
# calculated total energy	-13.25	eV per cell
# magnetic moment	0.00	μB per atom

---

# 3
# ZrBe2P2, relaxed, DFT PBE-GGA
data_ZrBe2P2
_chemical_formula_sum 'Zr2 Be4 P4'
_space_group_name_H-M_alt 'I 4/m m m'
_space_group_IT_number 139
_space_group_name_Hall '-I 4 2'
_cell_length_a 3.3934
_cell_length_b 3.3934
_cell_length_c 11.6665
_cell_angle_alpha 90.00
_cell_angle_beta 90.00
_cell_angle_gamma 90.00
loop_
_atom_site_label
_atom_site_type_symbol
_atom_site_fract_x
_atom_site_fract_y
_atom_site_fract_z
Zr1 Zr 0.0000 0.0000 0.0000
Be1 Be 0.0000 0.5000 0.2500
P1 P 0.0000 0.0000 0.3729
# ΔE_f	-472	meV per atom
# calculated total energy	-58.36	eV per cell
# magnetic moment	0.00	μB per atom

---

# 4
# Nd2NiBi, relaxed, DFT PBE-GGA
data_Nd2NiBi
_chemical_formula_sum 'Nd6 Ni3 Bi3'
_space_group_name_H-M_alt 'R -3 m'
_space_group_IT_number 166
_space_group_name_Hall '-R 3 2"'
_cell_length_a 4.3695
_cell_length_b 4.3695
_cell_length_c 21.1641
_cell_angle_alpha 90.00
_cell_angle_beta 90.00
_cell_angle_gamma 120.00
loop_
_atom_site_label
_atom_site_type_symbol
_atom_site_fract_x
_atom_site_fract_y
_atom_site_fract_z
Nd1 Nd 0.0000 0.0000 0.2374
Ni1 Ni 0.0000 0.0000 0.5000
Bi1 Bi 0.0000 0.0000 0.0000
# ΔE_f	-406	meV per atom
# calculated total energy	-62.46	eV per cell
# magnetic moment	0.00	μB per atom

---

# 5
# CrCoRh2, relaxed, DFT PBE-GGA
data_CrCoRh2
_chemical_formula_sum 'Cr1 Co1 Rh2'
_space_group_name_H-M_alt 'P m m 2'
_space_group_IT_number 25
_cell_length_a 2.6553
_cell_length_b 3.6594
_cell_length_c 5.2977
_cell_angle_alpha 90.00
_cell_angle_beta 90.00
_cell_angle_gamma 90.00
loop_
_space_group_symop_operation_xyz
'x,y,z'
'-x,-y,z'
'-x,y,z'
'x,-y,z'
loop_
_atom_site_label
_atom_site_type_symbol
_atom_site_fract_x
_atom_site_fract_y
_atom_site_fract_z
Cr1 Cr 0.0000 0.0000 0.0000
Co1 Co 0.5000 0.5000 0.7687
Rh1 Rh 0.0000 0.0000 0.5345
Rh2 Rh 0.5000 0.5000 0.2461
# ΔE_f	11	meV per atom
# calculated total energy	-31.39	eV per cell
# magnetic moment	0.21	μB per atom

---

# 6
# Na3Ac2PaTe6, relaxed, DFT PBE-GGA
data_Na3Ac2PaTe6
_chemical_formula_sum 'Na6 Ac4 Pa2 Te12'
_space_group_name_H-M_alt 'C 1 2/m 1'
_space_group_IT_number 12
_cell_length_a 8.0652
_cell_length_b 13.9721
_cell_length_c 8.0549
_cell_angle_alpha 90.00
_cell_angle_beta 109.62
_cell_angle_gamma 90.00
loop_
_space_group_symop_operation_xyz
'x,y,z'
'-x,-y,-z'
'-x,y,-z'
'x,-y,z'
'x+1/2,y+1/2,z'
'-x+1/2,-y+1/2,-z'
'-x+1/2,y+1/2,-z'
'x+1/2,-y+1/2,z'
loop_
_atom_site_label
_atom_site_type_symbol
_atom_site_fract_x
_atom_site_fract_y
_atom_site_fract_z
Na1 Na 0.0000 0.0000 0.0000
Na2 Na 0.0000 0.3295 0.0000
Ac1 Ac 0.0000 0.1664 0.5000
Pa1 Pa 0.0000 0.5000 0.5000
Te1 Te 0.2338 0.5000 0.2546
Te2 Te 0.2409 0.3416 0.7472
# calculated total energy	-109.40	eV per cell
# formation energy (no corrections)	-1181.7	meV/atom
# magnetic moment	0.15	μB per atom

---

# 7
# LaCu2GeN, relaxed, DFT PBE-GGA
data_LaCu2GeN
_chemical_formula_sum 'La4 Cu8 Ge4 N4'
_space_group_name_H-M_alt 'C m c m'
_space_group_IT_number 63
_space_group_name_Hall '-C 2c 2'
_cell_length_a 3.7266
_cell_length_b 11.9293
_cell_length_c 7.1046
_cell_angle_alpha 90.00
_cell_angle_beta 90.00
_cell_angle_gamma 90.00
loop_
_atom_site_label
_atom_site_type_symbol
_atom_site_fract_x
_atom_site_fract_y
_atom_site_fract_z
La1 La 0.0000 0.0386 0.2500
Cu1 Cu 0.0000 0.3365 0.0568
Ge1 Ge 0.0000 0.2358 0.7500
N1 N 0.0000 0.5000 0.0000
# calculated total energy	-114.44	eV per cell
# formation energy (no corrections)	-509.7	meV/atom
# magnetic moment	0.00	μB per atom

---

# 8
# CoHgRh3, relaxed, DFT PBE-GGA
data_CoHgRh3
_chemical_formula_sum 'Co1 Hg1 Rh3'
_space_group_name_H-M_alt 'P m -3 m'
_space_group_IT_number 221
_space_group_name_Hall '-P 4 2 3'
_cell_length_a 4.4943
_cell_length_b 4.4943
_cell_length_c 4.4943
_cell_angle_alpha 90.00
_cell_angle_beta 90.00
_cell_angle_gamma 90.00
loop_
_atom_site_label
_atom_site_type_symbol
_atom_site_fract_x
_atom_site_fract_y
_atom_site_fract_z
Co1 Co 0.0000 0.0000 0.0000
Hg1 Hg 0.5000 0.5000 0.5000
Rh1 Rh 0.0000 0.0000 0.5000
# ΔE_f	886	meV per atom
# energy above the most stable polymorph in this dataset	0	meV/atom
# calculated total energy	-25.03	eV per cell
# magnetic moment	0.77	μB per atom

---

> Look up the calculated total energy of the fifth one.

-31.39 eV per cell